(1)
Computed, not measured: crystalline MgAlTl2 at its relaxed geometry at the PBE level of DFT.

extended XYZ file:
```
4
Lattice="2.2413 -2.4662 0.0000 2.2413 2.4662 0.0000 0.0000 0.0000 9.0043" Properties=species:S:1:pos:R:3 pbc="T T T"
Mg 0.0000 0.0000 0.0000
Al 0.0000 0.0000 4.5022
Tl 2.2413 0.0000 2.2888
Tl 2.2413 0.0000 6.7155
```

Properties
For the offset from the most stable computed form, the calculation gives 65 meV/atom. For the formation energy, the calculation gives 0.63 eV/f.u. The calculation puts the calculated volume at 24.89 Å³/atom.

(2)
Computed, not measured: crystalline LaTcPb at its relaxed geometry at the PBE level of DFT.

extended XYZ file:
```
3
Lattice="3.6367 0.0000 0.0000 -1.8183 3.1494 0.0000 0.0000 0.0000 6.7370" Properties=species:S:1:pos:R:3 pbc="T T T"
La 0.0000 0.0000 0.0000
Tc 0.0000 2.0996 4.6994
Pb 1.8183 1.0498 2.8361
```

Properties
For the offset from the most stable computed form, the calculation gives 228 meV/atom. For the formation energy, the calculation gives 1.00 eV/f.u. The calculation puts the calculated volume at 25.72 Å³/atom.

(3)
Computed, not measured: crystalline Pr4Al5Ag2 at its relaxed geometry at the PBE level of DFT.

extended XYZ file:
```
11
Lattice="7.5388 0.0000 0.0000 0.0000 3.6554 0.0000 -0.5635 0.0000 9.8359" Properties=species:S:1:pos:R:3 pbc="T T T"
Pr 1.0782 0.0000 3.8165
Pr 1.5744 0.0000 9.2451
Pr 5.4009 0.0000 0.5908
Pr 5.8971 0.0000 6.0194
Al 1.2142 1.8277 6.5471
Al 3.2005 1.8277 2.1127
Al 3.4876 1.8277 4.9179
Al 3.7748 1.8277 7.7231
Al 5.7611 1.8277 3.2888
Ag 0.3787 1.8277 1.3845
Ag 6.5966 1.8277 8.4514
```

Properties
For the formation energy, the calculation gives -2.93 eV/f.u. The calculation puts the calculated volume at 24.64 Å³/atom.

(4)
Computed, not measured: crystalline Co2AuSe at its relaxed geometry at the PBE level of DFT.

extended XYZ file:
```
4
Lattice="2.9560 0.0000 0.0000 0.0000 2.9560 0.0000 0.0000 0.0000 6.4129" Properties=species:S:1:pos:R:3 pbc="T T T"
Co 0.0000 0.0000 1.3634
Co 0.0000 0.0000 5.0494
Au 1.4780 1.4780 3.2064
Se 1.4780 1.4780 0.0000
```

Properties
For the formation energy (no corrections), the calculation gives 240 meV per atom. For the offset from the most stable computed form, the calculation gives 43 meV/atom. The calculation puts the calculated volume at 14.01 Å³/atom.

(5)
Computed, not measured: crystalline Ca2SnF at its relaxed geometry at the PBE level of DFT.

extended XYZ file:
```
8
Lattice="-3.6226 3.6226 3.9285 3.6226 -3.6226 3.9285 3.6226 3.6226 -3.9285" Properties=species:S:1:pos:R:3 pbc="T T T"
Ca 5.4339 1.1189 -0.9821
Ca 1.1189 1.8113 0.9821
Ca -1.8113 2.5037 2.9464
Ca 2.5037 1.8113 4.9106
Sn 3.6226 0.0000 1.9642
Sn 0.0000 0.0000 3.9285
F 0.0000 0.0000 0.0000
F 0.0000 3.6226 1.9642
```

Properties
For the formation energy (no corrections), the calculation gives -1617 meV per atom. For the offset from the most stable computed form, the calculation gives 0 meV/atom. The calculation puts the calculated volume at 25.78 Å³/atom.

(6)
Computed, not measured: crystalline NdHoZn2 at its relaxed geometry at the PBE level of DFT.

extended XYZ file:
```
4
Lattice="1.8166 1.0488 9.0746 -1.8166 1.0488 9.0746 0.0000 -2.0977 9.0746" Properties=species:S:1:pos:R:3 pbc="T T T"
Nd 0.0000 0.0000 0.0000
Ho 0.0000 0.0000 13.6119
Zn 0.0000 0.0000 6.7111
Zn 0.0000 0.0000 20.5128
```

Properties
For the formation energy, the calculation gives -0.40 eV/f.u. The calculation puts the calculated volume at 25.94 Å³/atom.

(7)
Computed, not measured: crystalline Sc2MnCd at its relaxed geometry at the PBE level of DFT.

extended XYZ file:
```
4
Lattice="3.2952 0.0000 0.0000 0.0000 4.0230 0.0000 0.0000 0.0000 6.2476" Properties=species:S:1:pos:R:3 pbc="T T T"
Sc 0.0000 0.0000 0.0000
Sc 1.6476 2.0115 1.8060
Mn 1.6476 2.0115 5.0284
Cd 0.0000 0.0000 3.3622
```

Properties
For the formation energy, the calculation gives 0.23 eV/f.u. The calculation puts the calculated volume at 20.71 Å³/atom.

(8)
Computed, not measured: crystalline Na3PaGe2O9 at its relaxed geometry at the PBE level of DFT.

extended XYZ file:
```
15
Lattice="5.5677 0.0000 0.0000 -2.7838 4.8217 0.0000 0.0000 0.0000 7.0194" Properties=species:S:1:pos:R:3 pbc="T T T"
Na 0.0000 0.0000 0.0000
Na 0.0000 3.2145 5.0447
Na 2.7838 1.6072 1.9748
Pa 0.0000 0.0000 3.5097
Ge 0.0000 3.2145 1.1098
Ge 2.7838 1.6072 5.9096
O -1.3919 2.4109 0.0000
O 0.0000 1.6795 2.1731
O -1.3294 3.9820 2.1731
O 1.4545 0.8397 4.8463
O 2.7838 0.0000 0.0000
O 1.3919 2.4109 0.0000
O 1.3294 3.9820 2.1731
O 4.1132 0.8397 4.8463
O 2.7838 3.1423 4.8463
```

Properties
For the formation energy (no corrections), the calculation gives -1882 meV per atom. The calculation puts the calculated volume at 12.56 Å³/atom.

(9)
Computed, not measured: crystalline HoPd5Au6 at its relaxed geometry at the PBE level of DFT.

extended XYZ file:
```
12
Lattice="-2.0775 4.0696 6.1751 2.0775 -4.0696 6.1751 2.0775 4.0696 -6.1751" Properties=species:S:1:pos:R:3 pbc="T T T"
Ho 0.0000 0.0000 0.0000
Pd 2.0775 0.0000 1.9832
Pd 0.0000 0.0000 4.0751
Pd 0.0000 4.0696 0.0000
Pd 0.0000 0.0000 8.2751
Pd 0.0000 4.0696 4.1919
Au 2.0775 -1.9746 4.0852
Au 2.0775 2.1473 0.0000
Au 0.0000 2.0950 2.0899
Au 2.0775 1.9746 4.0852
Au 0.0000 1.9223 6.1751
Au 0.0000 6.0441 2.0899
```

Properties
For the offset from the most stable computed form, the calculation gives 7 meV/atom. For the formation energy, the calculation gives -3.95 eV/f.u. The calculation puts the calculated volume at 17.40 Å³/atom.

(10)
Computed, not measured: crystalline LiHg2Ru at its relaxed geometry at the PBE level of DFT.

extended XYZ file:
```
4
Lattice="1.4910 0.8608 9.3141 -1.4910 0.8608 9.3141 0.0000 -1.7217 9.3141" Properties=species:S:1:pos:R:3 pbc="T T T"
Li 0.0000 0.0000 0.0000
Hg 0.0000 0.0000 7.0083
Hg 0.0000 0.0000 20.9341
Ru 0.0000 0.0000 13.9712
```

Properties
For the offset from the most stable computed form, the calculation gives 189 meV/atom. For the formation energy, the calculation gives 0.99 eV/f.u. The calculation puts the calculated volume at 17.93 Å³/atom.

(11)
Computed, not measured: crystalline Er3Cd2Ag3 at its relaxed geometry at the PBE level of DFT.

extended XYZ file:
```
8
Lattice="7.4388 0.0000 0.0000 -3.7194 6.4421 0.0000 0.0000 0.0000 3.9727" Properties=species:S:1:pos:R:3 pbc="T T T"
Er -2.3646 4.0957 0.0000
Er 1.3547 2.3465 0.0000
Er 4.7293 0.0000 0.0000
Cd 0.0000 4.2948 1.9863
Cd 3.7194 2.1474 1.9863
Ag -0.8657 1.4995 1.9863
Ag 1.7315 0.0000 1.9863
Ag 2.8536 4.9427 1.9863
```

Properties
For the offset from the most stable computed form, the calculation gives 77 meV/atom. For the formation energy, the calculation gives -1.52 eV/f.u. The calculation puts the calculated volume at 23.80 Å³/atom.

(12)
Computed, not measured: crystalline Co2OsRh at its relaxed geometry at the PBE level of DFT.

extended XYZ file:
```
4
Lattice="3.9725 0.0000 0.0000 0.0000 1.3128 4.8058 0.0000 -1.3128 4.8058" Properties=species:S:1:pos:R:3 pbc="T T T"
Co 0.0000 0.0000 0.0000
Co 1.9862 0.0000 1.2428
Os 0.0000 0.0000 7.0641
Rh 1.9862 0.0000 3.7354
```

Properties
For the offset from the most stable computed form, the calculation gives 21 meV/atom. For the formation energy, the calculation gives 0.53 eV/f.u. The calculation puts the calculated volume at 12.53 Å³/atom.